First-principles (PBE) data for a geometry-optimized Sb3W structure, as listed in Alexandria.

```
Sb3W
1.0
4.184 0.000 0.000
0.000 4.184 0.000
0.000 0.000 23.243
Sb W
12 4
direct
0.000 0.000 0.124
0.000 0.000 0.876
0.000 0.500 0.000
0.000 0.500 0.250
0.000 0.500 0.500
0.000 0.500 0.750
0.500 0.000 0.000
0.500 0.000 0.250
0.500 0.000 0.500
0.500 0.000 0.750
0.500 0.500 0.376
0.500 0.500 0.624
0.000 0.000 0.329
0.000 0.000 0.671
0.500 0.500 0.171
0.500 0.500 0.829
```

Calculated values
- Total energy: -22.21 eV per formula unit
- Total moment: 0.40 μB per formula unit
- Volume: 406.9 Å³ per cell
- D(E_F): 12.5 states/eV/cell
- Energy above the most stable polymorph in this dataset: 481.5 meV per atom

=====

First-principles (PBE) data for a geometry-optimized SbW structure, as listed in Alexandria.

```
SbW
1.0
4.747 0.000 0.000
0.000 3.328 0.000
-0.973 0.000 5.271
Sb W
2 2
direct
0.161 0.250 0.283
0.839 0.750 0.717
0.378 0.250 0.832
0.622 0.750 0.168
```

Calculated values
- Total energy: -16.03 eV per formula unit
- Total moment: 0.00 μB per formula unit
- Volume: 83.3 Å³ per cell
- D(E_F): 1.9 states/eV/cell
- Energy above the most stable polymorph in this dataset: 252.0 meV per atom

=====

First-principles (PBE) data for a geometry-optimized Sb4W5 structure, as listed in Alexandria.

```
Sb4W5
1.0
-5.113 5.113 1.698
5.113 -5.113 1.698
5.113 5.113 -1.698
Sb W
4 5
direct
0.000 0.306 0.306
0.000 0.694 0.694
0.306 0.000 0.306
0.694 0.000 0.694
0.000 0.000 0.000
0.345 0.345 0.691
0.345 0.655 0.000
0.655 0.345 0.000
0.655 0.655 0.309
```

Calculated values
- Total energy: -76.06 eV per formula unit
- Total moment: 0.00 μB per formula unit
- Volume: 177.5 Å³ per cell
- D(E_F): 6.0 states/eV/cell

=====

First-principles (PBE) data for a geometry-optimized SbW structure, as listed in Alexandria.

```
SbW
1.0
4.679 0.000 0.000
-2.340 4.052 0.000
0.000 0.000 13.746
Sb W
6 6
direct
0.000 0.000 0.209
0.000 0.000 0.791
0.333 0.667 0.574
0.333 0.667 0.923
0.667 0.333 0.077
0.667 0.333 0.426
0.000 0.000 0.405
0.000 0.000 0.595
0.333 0.667 0.142
0.333 0.667 0.327
0.667 0.333 0.673
0.667 0.333 0.858
```

Calculated values
- Total energy: -15.91 eV per formula unit
- Total moment: 0.00 μB per formula unit
- Volume: 260.6 Å³ per cell
- D(E_F): 11.2 states/eV/cell
- Energy above the most stable polymorph in this dataset: 312.9 meV per atom

=====

First-principles (PBE) data for a geometry-optimized SbW structure, as listed in Alexandria.

```
SbW
1.0
3.140 0.000 0.000
-1.570 2.719 0.000
0.000 0.000 32.575
Sb W
6 6
direct
0.000 0.000 0.100
0.000 0.000 0.900
0.333 0.667 0.567
0.333 0.667 0.767
0.667 0.333 0.233
0.667 0.333 0.433
0.000 0.000 0.363
0.000 0.000 0.637
0.333 0.667 0.030
0.333 0.667 0.303
0.667 0.333 0.697
0.667 0.333 0.970
```

Calculated values
- Total energy: -16.35 eV per formula unit
- Total moment: 0.00 μB per formula unit
- Volume: 278.1 Å³ per cell
- D(E_F): 4.5 states/eV/cell
- Energy above the most stable polymorph in this dataset: 92.1 meV per atom

=====

First-principles (PBE) data for a geometry-optimized SbW structure, as listed in Alexandria.

```
SbW
1.0
3.252 0.000 0.000
0.000 3.252 0.000
0.000 0.000 8.156
Sb W
2 2
direct
0.250 0.250 0.189
0.750 0.750 0.811
0.250 0.250 0.586
0.750 0.750 0.414
```

Calculated values
- Total energy: -16.53 eV per formula unit
- Total moment: 0.00 μB per formula unit
- Volume: 86.2 Å³ per cell
- D(E_F): 1.8 states/eV/cell
- Energy above the most stable polymorph in this dataset: 0.0 meV per atom